(1)
Here is crystalline Hg2Pt at its relaxed geometry from Alexandria. Energies are from PBE-GGA.

- formation enthalpy at 0 K (eV/atom) = 0.13
- volume (A^3/atom) = 20.12
- spin magnetization (μB/cell) = 0.00
- calculated density (Mg/m³) = 16.41
- final energy (eV per atom) = -2.080
- DOS(E_F) (states/eV per cell) = 0.87
- energy above the lowest structure with this stoichiometry (eV/atom) = 0.201

a b c (Å): 6.9227 6.9227 6.9227
angles (deg): 154.74 154.74 36.03
Atoms (fractional coordinates):
Hg1 0.1524 0.1524 0.0000
Hg2 0.8476 0.8476 0.0000
Pt1 0.5000 0.5000 0.0000



(2)
Here is crystalline Ac5Si2O12 at its relaxed geometry from Alexandria. Energies are from PBE-GGA.

- volume (A^3/atom) = 15.92
- spin magnetization (μB/cell) = 1.08
- calculated density (Mg/m³) = 7.59
- final energy (eV per atom) = -7.779
- DOS(E_F) (states/eV per cell) = 8.57
- uncorrected formation energy (eV per atom) = -3.00

a b c (Å): 7.1815 7.1815 8.0937
angles (deg): 105.60 105.60 49.36
Atoms (fractional coordinates):
Ac1 0.0000 0.0000 0.0000
Ac2 0.3048 0.3048 0.6585
Ac3 0.3182 0.3182 0.1481
Ac4 0.6818 0.6818 0.8519
Ac5 0.6952 0.6952 0.3415
Si1 0.2413 0.7587 0.5000
Si2 0.7587 0.2413 0.5000
O1 0.0013 0.0013 0.6531
O2 0.0929 0.5933 0.9142
O3 0.1107 0.6088 0.4319
O4 0.3912 0.8893 0.5681
O5 0.4067 0.9071 0.0858
O6 0.4972 0.4972 0.6503
O7 0.5028 0.5028 0.3497
O8 0.5933 0.0929 0.9142
O9 0.6088 0.1107 0.4319
O10 0.8893 0.3912 0.5681
O11 0.9071 0.4067 0.0858
O12 0.9987 0.9987 0.3469



(3)
Here is crystalline CuNi3As at its relaxed geometry from Alexandria. Energies are from PBE-GGA.

- formation enthalpy at 0 K (eV/atom) = 0.55
- volume (A^3/atom) = 15.85
- spin magnetization (μB/cell) = 0.00
- calculated density (Mg/m³) = 6.59
- final energy (eV per atom) = -4.666
- DOS(E_F) (states/eV per cell) = 4.81
- energy above the lowest structure with this stoichiometry (eV/atom) = 0.000

a b c (Å): 4.2951 4.2951 4.2951
angles (deg): 90.00 90.00 90.00
Atoms (fractional coordinates):
Cu1 0.0000 0.0000 0.0000
Ni1 0.0000 0.5000 0.5000
Ni2 0.5000 0.0000 0.5000
Ni3 0.5000 0.5000 0.0000
As1 0.5000 0.5000 0.5000



Copy entry 1 word for word.
Here is crystalline Hg2Pt at its relaxed geometry from Alexandria. Energies are from PBE-GGA.

- formation enthalpy at 0 K (eV/atom) = 0.13
- volume (A^3/atom) = 20.12
- spin magnetization (μB/cell) = 0.00
- calculated density (Mg/m³) = 16.41
- final energy (eV per atom) = -2.080
- DOS(E_F) (states/eV per cell) = 0.87
- energy above the lowest structure with this stoichiometry (eV/atom) = 0.201

a b c (Å): 6.9227 6.9227 6.9227
angles (deg): 154.74 154.74 36.03
Atoms (fractional coordinates):
Hg1 0.1524 0.1524 0.0000
Hg2 0.8476 0.8476 0.0000
Pt1 0.5000 0.5000 0.0000